Entry 1:
# Ba3Si3N5ClO (SCAN, PBEsol geometry)
# Raw total energy   -17.88 eV/atom
# Formation energy from raw total energies   -1.778 eV/atom
# Magnetization   0.0000 μB per atom
data_Ba3Si3N5ClO
_chemical_formula_sum 'Ba12 Si12 N20 Cl4 O4'
_cell_length_a 9.433
_cell_length_b 16.712
_cell_length_c 5.487
_cell_angle_alpha 90.00
_cell_angle_beta 92.09
_cell_angle_gamma 90.00
_space_group_name_H-M_alt 'C 1 c 1'
_space_group_IT_number 9
loop_
_space_group_symop_operation_xyz
'x,y,z'
'x,-y,z+1/2'
'x+1/2,y+1/2,z'
'x+1/2,-y+1/2,z+1/2'
loop_
_atom_site_label
_atom_site_fract_x
_atom_site_fract_y
_atom_site_fract_z
Ba1 0.000 0.075 0.000
Ba2 0.178 0.312 0.004
Ba3 0.448 0.099 0.019
Si1 0.035 0.201 0.514
Si2 0.245 0.062 0.511
Si3 0.347 0.235 0.499
N1 0.074 0.101 0.501
N2 0.174 0.267 0.499
N3 0.264 0.002 0.258
N4 0.378 0.134 0.524
N5 0.433 0.276 0.259
Cl1 0.222 0.468 0.762
O1 0.428 0.280 0.756

---

Entry 2:
# BaSe2NCl (SCAN, PBEsol geometry)
# Raw total energy   -19.15 eV/atom
# Formation energy from raw total energies   0.245 eV/atom
# Magnetization   0.4049 μB per atom
data_BaSe2NCl
_chemical_formula_sum 'Ba1 Se2 N1 Cl1'
_cell_length_a 5.131
_cell_length_b 5.131
_cell_length_c 4.405
_cell_angle_alpha 90.00
_cell_angle_beta 90.00
_cell_angle_gamma 90.00
_space_group_name_H-M_alt 'P 4/m m m'
_space_group_IT_number 123
_space_group_name_Hall '-P 4 2'
loop_
_atom_site_label
_atom_site_fract_x
_atom_site_fract_y
_atom_site_fract_z
Ba1 0.000 0.000 0.000
Se1 0.000 0.500 0.500
N1 0.500 0.500 0.000
Cl1 0.500 0.500 0.500

---

Entry 3:
# Ba2NaCl2 (SCAN, PBEsol geometry)
# Raw total energy   -21.47 eV/atom
# Formation energy from raw total energies   -1.619 eV/atom
# Magnetization   0.0058 μB per atom
data_Ba2NaCl2
_chemical_formula_sum 'Ba4 Na2 Cl4'
_cell_length_a 5.142
_cell_length_b 5.142
_cell_length_c 15.738
_cell_angle_alpha 90.00
_cell_angle_beta 90.00
_cell_angle_gamma 90.00
_space_group_name_H-M_alt 'I 4/m m m'
_space_group_IT_number 139
_space_group_name_Hall '-I 4 2'
loop_
_atom_site_label
_atom_site_fract_x
_atom_site_fract_y
_atom_site_fract_z
Ba1 0.000 0.000 0.140
Na1 0.000 0.000 0.500
Cl1 0.000 0.500 0.250